8
Lattice="7.5510 0.0000 0.0000 0.0000 3.5645 0.0000 -1.2307 0.0000 4.7413" Properties=species:S:1:pos:R:3 comment="NiAsC2 PBE-GGA relaxed" delta_e_f_mev_per_atom=759 relative_energy_mev_per_atom=284 total_energy_ha_per_atom=-0.237 dos_at_fermi_per_ev_cell=2.6 pbc="T T T"
Ni 0.0000 0.0000 0.0000
Ni 3.7755 1.7823 0.0000
As 1.4697 1.7823 0.3311
As 5.2452 0.0000 0.3311
C 2.8826 1.7823 1.6923
C 2.6703 1.7823 2.9484
C 6.6581 0.0000 1.6923
C 6.4458 0.0000 2.9484

4
Lattice="2.5516 0.0000 0.0000 0.2191 3.5216 0.0000 1.1186 1.2972 4.9629" Properties=species:S:1:pos:R:3 comment="NiAsC2 PBE-GGA relaxed" delta_e_f_mev_per_atom=523 relative_energy_mev_per_atom=48 total_energy_ha_per_atom=-0.246 dos_at_fermi_per_ev_cell=1.1 pbc="T T T"
Ni 0.0000 0.0000 0.0000
As 1.2411 2.9701 3.3699
C 1.2529 2.1543 1.4696
C 2.5337 1.6587 1.0387

8
Lattice="9.6257 0.0000 0.0000 0.0000 2.9750 0.0000 -1.2297 0.0000 4.1528" Properties=species:S:1:pos:R:3 comment="NiAsC2 PBE-GGA relaxed" delta_e_f_mev_per_atom=858 relative_energy_mev_per_atom=383 total_energy_ha_per_atom=-0.234 dos_at_fermi_per_ev_cell=2.3 pbc="T T T"
Ni 0.0000 0.0000 0.0000
Ni 4.8128 1.4875 0.0000
As 1.9970 0.0000 1.3853
As 6.8098 1.4875 1.3853
C 3.5935 0.0000 0.3092
C 2.7705 0.0000 3.1674
C 8.4063 1.4875 0.3092
C 7.5833 1.4875 3.1674

4
Lattice="3.7219 0.0000 0.0000 -0.7895 3.9742 0.0000 -0.1314 -1.8060 3.9038" Properties=species:S:1:pos:R:3 comment="NiAsC2 PBE-GGA relaxed" delta_e_f_mev_per_atom=831 relative_energy_mev_per_atom=357 total_energy_ha_per_atom=-0.235 dos_at_fermi_per_ev_cell=1.5 pbc="T T T"
Ni 0.0000 0.0000 0.0000
As 0.0610 2.0527 1.2652
C 1.1512 3.2483 0.1602
C 1.1099 2.0164 2.8764

5
Lattice="3.8130 0.0000 0.0000 0.0000 3.8130 0.0000 0.0000 0.0000 3.8130" Properties=species:S:1:pos:R:3 comment="NiAsC3 PBE-GGA relaxed" delta_e_f_mev_per_atom=2385 relative_energy_mev_per_atom=0 total_energy_ha_per_atom=-0.192 dos_at_fermi_per_ev_cell=3.0 pbc="T T T"
Ni 0.0000 0.0000 0.0000
As 1.9065 1.9065 1.9065
C 0.0000 0.0000 1.9065
C 0.0000 1.9065 0.0000
C 1.9065 0.0000 0.0000

4
Lattice="2.9284 0.0000 0.0000 0.4597 3.2594 0.0000 0.1427 1.4595 5.5045" Properties=species:S:1:pos:R:3 comment="NiAsPC PBE-GGA relaxed" delta_e_f_mev_per_atom=411 relative_energy_mev_per_atom=183 total_energy_ha_per_atom=-0.215 dos_at_fermi_per_ev_cell=1.8 pbc="T T T"
Ni 0.0000 0.0000 0.0000
As 1.5070 1.4005 1.4204
P 1.8290 3.0882 3.2941
C 3.2920 3.1109 4.2847